VCd | PBE | optimized geometry

Summary:
Density of states at the Fermi level   16.07 states/eV per cell
Energy of formation from the pure elements   25.6 kcal/mol of atoms

Unit cell a=8.382 b=8.382 c=8.382 alpha=90.00 beta=90.00 gamma=90.00
Space group I-43m (No. 217)
Asymmetric unit:
V 0.097 0.097 0.097 x8
Cd 0.208 0.208 0.792 x8